(1)
Computed, not measured: SiTcAu2 after structural relaxation at the GGA-PBE level of DFT.

Structure (CIF):
```
data_SiTcAu2
_cell_length_a 2.7866
_cell_length_b 4.2029
_cell_length_c 5.5621
_cell_angle_alpha 90.00
_cell_angle_beta 90.00
_cell_angle_gamma 90.00
_space_group_name_H-M_alt 'P m m m'
_space_group_IT_number 47
loop_
_space_group_symop_operation_xyz
'x,y,z'
'-x,-y,-z'
'-x,-y,z'
'x,y,-z'
'x,-y,-z'
'-x,y,z'
'-x,y,-z'
'x,-y,z'
loop_
_atom_site_label
_atom_site_fract_x
_atom_site_fract_y
_atom_site_fract_z
_atom_site_occupancy
Si1 0.0000 0.0000 0.0000 1
Tc1 0.0000 0.0000 0.5000 1
Au1 0.5000 0.5000 0.2521 1
```

DFT total energy, eV per atom: -5.20
Mass density, g cm⁻³: 13.256
Formation energy from raw total energies, eV per atom: 0.389
V, Å³ per atom: 16.3
Crystal system: orthorhombic
Magnetization, μB/f.u.: 0.00

=====

(2)
Computed, not measured: SiTc2Au after structural relaxation at the GGA-PBE level of DFT.

Structure (CIF):
```
data_SiTc2Au
_cell_length_a 3.8695
_cell_length_b 3.8695
_cell_length_c 3.9775
_cell_angle_alpha 90.00
_cell_angle_beta 90.00
_cell_angle_gamma 90.00
_space_group_name_H-M_alt 'P 4/m m m'
_space_group_IT_number 123
_space_group_name_Hall '-P 4 2'
loop_
_atom_site_label
_atom_site_fract_x
_atom_site_fract_y
_atom_site_fract_z
_atom_site_occupancy
Si1 0.0000 0.0000 0.0000 1
Tc1 0.0000 0.5000 0.5000 1
Au1 0.5000 0.5000 0.0000 1
```

DFT total energy, eV per atom: -7.10
Mass density, g cm⁻³: 11.740
Formation energy from raw total energies, eV per atom: 0.260
V, Å³ per atom: 14.9
Crystal system: tetragonal
Magnetization, μB/f.u.: 0.00

=====

(3)
Computed, not measured: SiTc3Au after structural relaxation at the GGA-PBE level of DFT.

Structure (CIF):
```
data_SiTc3Au
_cell_length_a 4.8860
_cell_length_b 4.8860
_cell_length_c 4.8860
_cell_angle_alpha 90.00
_cell_angle_beta 90.00
_cell_angle_gamma 90.00
_space_group_name_H-M_alt 'P m -3 m'
_space_group_IT_number 221
_space_group_name_Hall '-P 4 2 3'
loop_
_atom_site_label
_atom_site_fract_x
_atom_site_fract_y
_atom_site_fract_z
_atom_site_occupancy
Si1 0.0000 0.0000 0.0000 1
Tc1 0.0000 0.5000 0.5000 1
Au1 0.5000 0.5000 0.5000 1
```

DFT total energy, eV per atom: -5.56
Mass density, g cm⁻³: 7.389
Excess energy over the best structure of this formula in the dataset, meV per atom: 1501
Formation energy from raw total energies, eV per atom: 2.397
V, Å³ per atom: 23.3
Crystal system: cubic
Magnetization, μB/f.u.: 7.13